A plane-wave DFT calculation with PBE was carried out for a relaxed La3Ni2 crystal.

Results
magnetization = 0.00 Bohr magnetons per cell
N(E_F) = 0.85 states/eV per atom
E_tot = -5.4960 eV/atom
excess energy over the best structure of this formula in the dataset = 34 meV per atom
ΔE_f = -5.2 kcal/mol of atoms

Cell: 7.5928 7.5928 7.5928 Å, 55.10 55.10 55.10°
Fractional positions:
La  0.1174  0.7500  0.3826
La  0.2500  0.6174  0.8826
La  0.3826  0.1174  0.7500
La  0.6174  0.8826  0.2500
La  0.7500  0.3826  0.1174
La  0.8826  0.2500  0.6174
Ni  0.1846  0.1846  0.1846
Ni  0.3154  0.3154  0.3154
Ni  0.6846  0.6846  0.6846
Ni  0.8154  0.8154  0.8154



A plane-wave DFT calculation with PBE was carried out for a relaxed La4Ni crystal.

Results
magnetization = 0.00 Bohr magnetons per cell
N(E_F) = 2.50 states/eV per atom
E_tot = -5.1173 eV/atom
excess energy over the best structure of this formula in the dataset = 67 meV per atom
ΔE_f = -0.4 kcal/mol of atoms

Cell: 5.5950 5.5950 5.5950 Å, 90.00 90.00 90.00°
Fractional positions:
La  0.0000  0.0000  0.0000
La  0.0000  0.5000  0.5000
La  0.5000  0.0000  0.5000
La  0.5000  0.5000  0.0000
Ni  0.5000  0.5000  0.5000



A plane-wave DFT calculation with PBE was carried out for a relaxed La3Ni crystal.

Results
magnetization = 0.00 Bohr magnetons per cell
N(E_F) = 1.20 states/eV per atom
E_tot = -5.1184 eV/atom
ΔE_f = 0.5 kcal/mol of atoms

Cell: 3.6618 3.7026 9.4242 Å, 90.00 90.00 90.00°
Fractional positions:
La  0.0000  0.0000  0.0000
La  0.0000  0.5000  0.3414
La  0.5000  0.5000  0.7037
Ni  0.5000  0.0000  0.4756



A plane-wave DFT calculation with PBE was carried out for a relaxed La5Ni crystal.

Results
magnetization = 0.00 Bohr magnetons per cell
N(E_F) = 1.40 states/eV per atom
E_tot = -5.1187 eV/atom
excess energy over the best structure of this formula in the dataset = 17 meV per atom
ΔE_f = -1.1 kcal/mol of atoms

Cell: 9.2316 9.2316 3.7549 Å, 90.00 90.00 142.57°
Fractional positions:
La  0.0000  0.0000  0.0000
La  0.1879  0.8121  0.5000
La  0.3798  0.6202  0.0000
La  0.6202  0.3798  0.0000
La  0.8121  0.1879  0.5000
Ni  0.5000  0.5000  0.5000



A plane-wave DFT calculation with PBE was carried out for a relaxed La3Ni crystal.

Results
magnetization = 0.00 Bohr magnetons per cell
N(E_F) = 1.60 states/eV per atom
E_tot = -5.2474 eV/atom
ΔE_f = -2.5 kcal/mol of atoms

Cell: 9.0839 9.0839 9.0839 Å, 97.14 97.14 138.72°
Fractional positions:
La  0.0008  0.6377  0.6388
La  0.0752  0.0739  0.6084
La  0.1610  0.3661  0.9990
La  0.3623  0.0012  0.3631
La  0.3670  0.1620  0.0010
La  0.4655  0.4668  0.3916
La  0.5332  0.9248  0.9987
La  0.6339  0.6330  0.7950
La  0.6381  0.9992  0.6369
La  0.8380  0.8390  0.2050
La  0.9261  0.5345  0.0013
La  0.9988  0.3619  0.3612
Ni  0.2034  0.4998  0.7008
Ni  0.4974  0.7966  0.2964
Ni  0.5002  0.2011  0.7036
Ni  0.7989  0.5026  0.2992



A plane-wave DFT calculation with PBE was carried out for a relaxed La2Ni3 crystal.

Results
magnetization = 0.00 Bohr magnetons per cell
N(E_F) = 0.93 states/eV per atom
E_tot = -5.7256 eV/atom
ΔE_f = -6.6 kcal/mol of atoms

Cell: 7.6870 7.6870 7.6870 Å, 31.01 31.01 31.01°
Fractional positions:
La  0.0890  0.0890  0.0890
La  0.9110  0.9110  0.9110
Ni  0.3347  0.3347  0.3347
Ni  0.5000  0.5000  0.5000
Ni  0.6653  0.6653  0.6653